1.
Computed, not measured: a relaxed structure of Pm6PrDyTh2 at the PBE-GGA level of DFT.

Results
**Total energy**: -51.18 eV/f.u.
**Space group**: No. 15
**Formation enthalpy at 0 K**: 0.1549 eV/atom
**Crystal system**: monoclinic
**Total magnetic moment**: 0.00 μB per formula unit

Cell lengths 8.8203, 8.8203, 10.2208 Å; angles 95.97, 95.97, 118.00 degrees
Element x y z (fractional)
Pm1 0.0159 0.5647 0.1768
Pm2 0.1088 0.7397 0.5491
Pm3 0.2603 0.8912 0.9509
Pm4 0.3072 0.5109 0.3836
Pm5 0.4353 0.9841 0.3232
Pm6 0.4891 0.6928 0.1164
Pm7 0.5109 0.3072 0.8836
Pm8 0.5647 0.0159 0.6768
Pm9 0.6928 0.4891 0.6164
Pm10 0.7397 0.1088 0.0491
Pm11 0.8912 0.2603 0.4509
Pm12 0.9841 0.4353 0.8232
Pr1 0.0105 0.9895 0.2500
Pr2 0.9895 0.0105 0.7500
Dy1 0.4061 0.5939 0.7500
Dy2 0.5939 0.4061 0.2500
Th1 0.1836 0.2772 0.0414
Th2 0.2772 0.1836 0.5414
Th3 0.7228 0.8164 0.4586
Th4 0.8164 0.7228 0.9586

2.
Computed, not measured: a relaxed structure of Pm4PrDy2Th at the PBE-GGA level of DFT.

Results
**Total energy**: -40.13 eV/f.u.
**Space group**: No. 10
**Formation enthalpy at 0 K**: 0.0350 eV/atom
**Crystal system**: monoclinic
**Total magnetic moment**: 0.00 μB per formula unit

Cell lengths 5.1120, 5.1178, 10.2851 Å; angles 90.00, 90.05, 90.00 degrees
Element x y z (fractional)
Pm1 0.9999 0.0000 0.2446
Pm2 0.0001 0.0000 0.7554
Pm3 0.5002 0.5000 0.2457
Pm4 0.4998 0.5000 0.7543
Pr1 0.5000 0.0000 0.5000
Dy1 0.0000 0.5000 0.5000
Dy2 0.5000 0.0000 0.0000
Th1 0.0000 0.5000 0.0000

3.
Computed, not measured: a relaxed structure of PmPrDy5Th2 at the PBE-GGA level of DFT.

Results
**Total energy**: -44.52 eV/f.u.
**Space group**: No. 140
**Formation enthalpy at 0 K**: 0.3175 eV/atom
**Crystal system**: tetragonal
**Total magnetic moment**: 0.00 μB per formula unit

Cell lengths 9.9355, 9.9355, 9.9355 Å; angles 127.08, 127.08, 78.11 degrees
Element x y z (fractional)
Pm1 0.2500 0.2500 0.0000
Pm2 0.7500 0.7500 0.0000
Pr1 0.2500 0.7500 0.5000
Pr2 0.7500 0.2500 0.5000
Dy1 0.0000 0.0000 0.0000
Dy2 0.0696 0.5696 0.9134
Dy3 0.1563 0.0696 0.5000
Dy4 0.3437 0.8437 0.9134
Dy5 0.4304 0.3437 0.5000
Dy6 0.5000 0.5000 0.0000
Dy7 0.5696 0.6563 0.5000
Dy8 0.6563 0.1563 0.0866
Dy9 0.8437 0.9304 0.5000
Dy10 0.9304 0.4304 0.0866
Th1 0.1189 0.3811 0.5000
Th2 0.3811 0.8811 0.2622
Th3 0.6189 0.1189 0.7378
Th4 0.8811 0.6189 0.5000

4.
Computed, not measured: a relaxed structure of Pm2PrDyTl4 at the PBE-GGA level of DFT.

Results
**Total energy**: -31.32 eV/f.u.
**Space group**: No. 166
**Formation enthalpy at 0 K**: -0.3720 eV/atom
**Crystal system**: trigonal
**Total magnetic moment**: 0.00 μB per formula unit

Cell lengths 9.5020, 9.5020, 9.5020 Å; angles 33.48, 33.48, 33.48 degrees
Element x y z (fractional)
Pm1 0.2494 0.2494 0.2494
Pm2 0.7506 0.7506 0.7506
Pr1 0.0000 0.0000 0.0000
Dy1 0.5000 0.5000 0.5000
Tl1 0.1265 0.1265 0.1265
Tl2 0.3767 0.3767 0.3767
Tl3 0.6233 0.6233 0.6233
Tl4 0.8735 0.8735 0.8735

5.
Computed, not measured: a relaxed structure of PmPrDyTl at the PBE-GGA level of DFT.

Results
**Total energy**: -16.76 eV/f.u.
**Space group**: No. 216
**Formation enthalpy at 0 K**: -0.0652 eV/atom
**Crystal system**: cubic
**Offset from the most stable computed form**: 0.129 eV/atom
**Total magnetic moment**: 1.22 μB per formula unit

Cell lengths 5.5925, 5.5925, 5.5925 Å; angles 60.00, 60.00, 60.00 degrees
Element x y z (fractional)
Pm1 0.0000 0.0000 0.0000
Pr1 0.5000 0.5000 0.5000
Dy1 0.2500 0.2500 0.2500
Tl1 0.7500 0.7500 0.7500

6.
Computed, not measured: a relaxed structure of Pm6Pr3Dy2Tl at the PBE-GGA level of DFT.

Results
**Total energy**: -54.53 eV/f.u.
**Space group**: No. 12
**Formation enthalpy at 0 K**: -0.0094 eV/atom
**Crystal system**: monoclinic
**Total magnetic moment**: 0.00 μB per formula unit

Cell lengths 6.2888, 6.2888, 11.8950 Å; angles 95.17, 95.17, 120.22 degrees
Element x y z (fractional)
Pm1 0.0795 0.4060 0.2422
Pm2 0.2463 0.2463 0.7553
Pm3 0.4060 0.0795 0.2422
Pm4 0.5940 0.9205 0.7578
Pm5 0.7537 0.7537 0.2447
Pm6 0.9205 0.5940 0.7578
Pr1 0.1690 0.8310 0.5000
Pr2 0.5000 0.5000 0.5000
Pr3 0.8310 0.1690 0.5000
Dy1 0.3344 0.6656 0.0000
Dy2 0.6656 0.3344 0.0000
Tl1 0.0000 0.0000 0.0000

7.
Computed, not measured: a relaxed structure of PmPrDy2Tl4 at the PBE-GGA level of DFT.

Results
**Total energy**: -31.09 eV/f.u.
**Space group**: No. 166
**Formation enthalpy at 0 K**: -0.3616 eV/atom
**Crystal system**: trigonal
**Total magnetic moment**: 0.00 μB per formula unit

Cell lengths 9.4446, 9.4446, 9.4446 Å; angles 33.51, 33.51, 33.51 degrees
Element x y z (fractional)
Pm1 0.0000 0.0000 0.0000
Pr1 0.5000 0.5000 0.5000
Dy1 0.2501 0.2501 0.2501
Dy2 0.7499 0.7499 0.7499
Tl1 0.1243 0.1243 0.1243
Tl2 0.3743 0.3743 0.3743
Tl3 0.6257 0.6257 0.6257
Tl4 0.8757 0.8757 0.8757

8.
Computed, not measured: a relaxed structure of Pm3Pr6Dy2Tl at the PBE-GGA level of DFT.

Results
**Total energy**: -54.60 eV/f.u.
**Space group**: No. 12
**Formation enthalpy at 0 K**: -0.0083 eV/atom
**Crystal system**: monoclinic
**Total magnetic moment**: 0.00 μB per formula unit

Cell lengths 6.3169, 6.3169, 11.9546 Å; angles 95.16, 95.16, 120.20 degrees
Element x y z (fractional)
Pm1 0.0000 0.0000 0.0000
Pm2 0.3311 0.6689 0.0000
Pm3 0.6689 0.3311 0.0000
Pr1 0.0921 0.4193 0.2556
Pr2 0.2548 0.2548 0.7464
Pr3 0.4193 0.0921 0.2556
Pr4 0.5807 0.9079 0.7444
Pr5 0.7452 0.7452 0.2536
Pr6 0.9079 0.5807 0.7444
Dy1 0.1664 0.8336 0.5000
Dy2 0.8336 0.1664 0.5000
Tl1 0.5000 0.5000 0.5000

9.
Computed, not measured: a relaxed structure of PmPrDyTl at the PBE-GGA level of DFT.

Results
**Total energy**: -17.28 eV/f.u.
**Space group**: No. 47
**Formation enthalpy at 0 K**: -0.1946 eV/atom
**Crystal system**: orthorhombic
**Offset from the most stable computed form**: 0.000 eV/atom
**Total magnetic moment**: 0.01 μB per formula unit

Cell lengths 4.8979, 4.9296, 5.0262 Å; angles 90.00, 90.00, 90.00 degrees
Element x y z (fractional)
Pm1 0.0000 0.0000 0.0000
Pr1 0.5000 0.5000 0.0000
Dy1 0.0000 0.5000 0.5000
Tl1 0.5000 0.0000 0.5000

10.
Computed, not measured: a relaxed structure of Pm2PrDyTm at the PBE-GGA level of DFT.

Results
**Total energy**: -21.93 eV/f.u.
**Space group**: No. 13
**Formation enthalpy at 0 K**: 0.2840 eV/atom
**Crystal system**: monoclinic
**Total magnetic moment**: 0.00 μB per formula unit

Cell lengths 8.4520, 6.5586, 6.2452 Å; angles 90.00, 94.77, 90.00 degrees
Element x y z (fractional)
Pm1 0.1890 0.1901 0.2762
Pm2 0.1890 0.8099 0.7762
Pm3 0.8110 0.1901 0.2238
Pm4 0.8110 0.8099 0.7238
Pr1 0.5000 0.5000 0.0000
Pr2 0.5000 0.5000 0.5000
Dy1 0.5000 0.0646 0.7500
Dy2 0.5000 0.9354 0.2500
Tm1 0.0000 0.3368 0.7500
Tm2 0.0000 0.6632 0.2500

11.
Computed, not measured: a relaxed structure of Pm2PrDy3Tm6 at the PBE-GGA level of DFT.

Results
**Total energy**: -54.65 eV/f.u.
**Space group**: No. 12
**Formation enthalpy at 0 K**: 0.0221 eV/atom
**Crystal system**: monoclinic
**Total magnetic moment**: 0.00 μB per formula unit

Cell lengths 6.1526, 6.1526, 11.6807 Å; angles 95.02, 95.02, 119.97 degrees
Element x y z (fractional)
Pm1 0.1667 0.8333 0.0000
Pm2 0.8333 0.1667 0.0000
Pr1 0.5000 0.5000 0.0000
Dy1 0.0000 0.0000 0.5000
Dy2 0.3333 0.6667 0.5000
Dy3 0.6667 0.3333 0.5000
Tm1 0.0816 0.4152 0.7467
Tm2 0.2512 0.2512 0.2533
Tm3 0.4152 0.0816 0.7467
Tm4 0.5848 0.9184 0.2533
Tm5 0.7488 0.7488 0.7467
Tm6 0.9184 0.5848 0.2533

12.
Computed, not measured: a relaxed structure of Pm2Pr4DyTm2 at the PBE-GGA level of DFT.

Results
**Total energy**: -41.94 eV/f.u.
**Space group**: No. 12
**Formation enthalpy at 0 K**: 0.0247 eV/atom
**Crystal system**: monoclinic
**Total magnetic moment**: 0.00 μB per formula unit

Cell lengths 8.1451, 8.1451, 8.0873 Å; angles 107.61, 107.61, 36.85 degrees
Element x y z (fractional)
Pm1 0.1117 0.1117 0.1704
Pm2 0.8883 0.8883 0.8296
Pr1 0.2222 0.2222 0.8292
Pr2 0.4457 0.4457 0.1706
Pr3 0.5543 0.5543 0.8294
Pr4 0.7778 0.7778 0.1708
Dy1 0.0000 0.0000 0.5000
Tm1 0.3326 0.3326 0.5003
Tm2 0.6674 0.6674 0.4997